[1]
This record from the Alexandria database describes a relaxed structure of Th3GeB2Rh9. The functional is PBE.

Structure (POSCAR):
```
Th3GeB2Rh9
1.0
5.928 0.000 0.000
-2.964 5.134 0.000
0.000 0.000 8.349
Rh B Th Ge
9 2 3 1
Cartesian
2.964 0.000 0.000 Rh
1.473 4.273 2.437 Rh
4.437 0.861 5.912 Rh
0.000 1.722 2.437 Rh
1.482 2.567 0.000 Rh
-1.482 2.567 0.000 Rh
2.964 3.412 5.912 Rh
-1.473 4.273 2.437 Rh
1.491 0.861 5.912 Rh
0.000 3.423 1.236 B
2.964 1.711 7.113 B
0.000 3.423 5.472 Th
2.964 1.711 2.877 Th
0.000 0.000 0.000 Th
0.000 0.000 4.174 Ge
```

Computed properties:
Its calculated volume is 254.1 Å³ per cell. Its space-group type is P-3m1 (164). The total DFT energy (no corrections) comes out at -0.2898 hartree per atom. The total magnetization comes out at 0.00 μB/f.u.

---

[2]
This record from the Alexandria database describes a relaxed structure of NbSi2TcI. The functional is PBE.

Structure (POSCAR):
```
NbSi2TcI
1.0
-3.261 -1.677 -2.795
3.389 -0.030 -3.936
1.255 -4.295 1.113
Nb I Si Tc
1 1 2 1
Cartesian
1.695 -0.015 -1.968 Nb
0.692 -3.001 -2.809 I
-1.630 -0.839 -1.398 Si
0.627 -2.147 0.557 Si
0.000 0.000 0.000 Tc
```

Computed properties:
Its calculated volume is 110.4 Å³ per cell. Its space-group type is P4/mmm (123). The total DFT energy (no corrections) comes out at -0.2213 hartree per atom. The total magnetization comes out at 0.00 μB/f.u.

---

[3]
This record from the Alexandria database describes a relaxed structure of Be15Nb2Co2. The functional is PBE.

Structure (POSCAR):
```
Be15Nb2Co2
1.0
5.613 -0.037 -0.033
0.691 5.571 -0.033
0.691 0.607 5.538
Co Be Nb
2 15 2
Cartesian
6.241 5.478 4.881 Co
0.755 0.663 0.590 Co
0.346 0.303 2.769 Be
2.763 2.425 4.637 Be
5.202 2.106 1.877 Be
4.215 0.146 1.549 Be
4.215 1.556 -0.033 Be
4.233 1.255 3.595 Be
0.691 2.017 3.955 Be
2.090 3.978 -0.033 Be
0.346 2.785 -0.017 Be
2.763 4.885 1.877 Be
1.794 4.034 3.595 Be
2.090 0.424 3.955 Be
2.807 -0.019 -0.017 Be
0.691 4.161 1.549 Be
4.233 3.715 0.834 Be
4.583 4.023 3.584 Nb
2.413 2.118 1.887 Nb
```

Computed properties:
Its calculated volume is 173.5 Å³ per cell. Its space-group type is R-3m (166). The total DFT energy (no corrections) comes out at -0.1837 hartree per atom. The total magnetization comes out at 0.28 μB/f.u.

---

[4]
This record from the Alexandria database describes a relaxed structure of KLiMo. The functional is PBE.

Structure (POSCAR):
```
KLiMo
1.0
-5.397 -0.923 0.771
-2.971 -2.487 -3.945
-1.842 -5.157 0.764
Mo Li K
1 1 1
Cartesian
-7.657 -6.425 -1.807 Mo
-5.105 -4.284 -1.205 Li
0.000 0.000 0.000 K
```

Computed properties:
Its calculated volume is 119.5 Å³ per cell. Its space-group type is F-43m (216). The total DFT energy (no corrections) comes out at -0.1069 hartree per atom. The calculation puts the relative energy among the computed polymorphs at 754 meV per atom. The total magnetization comes out at 4.77 μB/f.u.